# 1
Here is crystalline InNiHg at its relaxed geometry from Alexandria. Energies are from PBE.

The structure in CIF format:
```
data_InNiHg
_space_group_name_H-M_alt 'P 1 21 1'
_space_group_IT_number 4
_cell_length_a 6.405
_cell_length_b 6.453
_cell_length_c 6.502
_cell_angle_alpha 90.00
_cell_angle_beta 106.16
_cell_angle_gamma 90.00
loop_
_space_group_symop_operation_xyz
'x,y,z'
'-x,y+1/2,-z'
loop_
_atom_site_label
_atom_site_type_symbol
_atom_site_fract_x
_atom_site_fract_y
_atom_site_fract_z
_atom_site_occupancy
In1 In 0.050 0.000 0.431 1
In2 In 0.427 0.562 0.477 1
Ni1 Ni 0.295 0.269 0.682 1
Ni2 Ni 0.304 0.859 0.206 1
Hg1 Hg 0.049 0.122 0.943 1
Hg2 Hg 0.436 0.567 0.980 1
```

## Properties
E above lowest polymorph	0.00	eV per formula unit
energy of formation	0.1	eV/f.u.
magnetization	0.0	Bohr magnetons per cell
calculated volume	258.13	Å³ per cell
crystal system	monoclinic

# 2
Here is crystalline Er2MgSc2 at its relaxed geometry from Alexandria. Energies are from PBE.

The structure in CIF format:
```
data_Er2MgSc2
_space_group_name_H-M_alt 'I 4/m m m'
_space_group_IT_number 139
_space_group_name_Hall '-I 4 2'
_cell_length_a 4.039
_cell_length_b 4.039
_cell_length_c 17.600
_cell_angle_alpha 90.00
_cell_angle_beta 90.00
_cell_angle_gamma 90.00
loop_
_atom_site_label
_atom_site_type_symbol
_atom_site_fract_x
_atom_site_fract_y
_atom_site_fract_z
_atom_site_occupancy
Er1 Er 0.000 0.000 0.096 1
Mg1 Mg 0.000 0.000 0.500 1
Sc1 Sc 0.000 0.500 0.250 1
```

## Properties
E above lowest polymorph	1.47	eV per formula unit
energy of formation	1.6	eV/f.u.
magnetization	0.0	Bohr magnetons per cell
calculated volume	287.07	Å³ per cell
crystal system	tetragonal

# 3
Here is crystalline InBN2F at its relaxed geometry from Alexandria. Energies are from PBE.

The structure in CIF format:
```
data_InBN2F
_space_group_name_H-M_alt 'P 4/m m m'
_space_group_IT_number 123
_space_group_name_Hall '-P 4 2'
_cell_length_a 3.418
_cell_length_b 3.418
_cell_length_c 3.894
_cell_angle_alpha 90.00
_cell_angle_beta 90.00
_cell_angle_gamma 90.00
loop_
_atom_site_label
_atom_site_type_symbol
_atom_site_fract_x
_atom_site_fract_y
_atom_site_fract_z
_atom_site_occupancy
In1 In 0.000 0.000 0.000 1
B1 B 0.500 0.500 0.500 1
N1 N 0.000 0.500 0.500 1
F1 F 0.500 0.500 0.000 1
```

## Properties
E_form (uncorrected)	1.84	eV per formula unit
E above lowest polymorph	0.00	eV per formula unit
magnetization	0.0	Bohr magnetons per cell
calculated volume	45.49	Å³ per cell
crystal system	tetragonal

# 4
Here is crystalline Nd3ZrPa3N8 at its relaxed geometry from Alexandria. Energies are from PBE.

The structure in CIF format:
```
data_Nd3ZrPa3N8
_space_group_name_H-M_alt 'R -3 m'
_space_group_IT_number 166
_space_group_name_Hall '-R 3 2"'
_cell_length_a 6.9977
_cell_length_b 6.9977
_cell_length_c 17.4296
_cell_angle_alpha 90.00
_cell_angle_beta 90.00
_cell_angle_gamma 120.00
loop_
_atom_site_label
_atom_site_type_symbol
_atom_site_fract_x
_atom_site_fract_y
_atom_site_fract_z
_atom_site_occupancy
Nd1 Nd 0.0000 0.5000 0.0000 1
Zr1 Zr 0.0000 0.0000 0.5000 1
Pa1 Pa 0.0000 0.5000 0.5000 1
N1 N 0.0000 0.0000 0.2389 1
N2 N 0.0109 0.5054 0.2331 1
```

## Properties
E_form (uncorrected)	-22.46	eV per formula unit
magnetization	0.0	Bohr magnetons per cell
calculated volume	739.15	Å³ per cell
crystal system	trigonal

# 5
Here is crystalline K4CdCu3F12 at its relaxed geometry from Alexandria. Energies are from PBE.

The structure in CIF format:
```
data_K4CdCu3F12
_space_group_name_H-M_alt 'I m -3 m'
_space_group_IT_number 229
_space_group_name_Hall '-I 4 2 3'
_cell_length_a 8.351
_cell_length_b 8.351
_cell_length_c 8.351
_cell_angle_alpha 90.00
_cell_angle_beta 90.00
_cell_angle_gamma 90.00
loop_
_atom_site_label
_atom_site_type_symbol
_atom_site_fract_x
_atom_site_fract_y
_atom_site_fract_z
_atom_site_occupancy
K1 K 0.250 0.250 0.250 1
Cd1 Cd 0.000 0.000 0.000 1
Cu1 Cu 0.000 0.000 0.500 1
F1 F 0.000 0.000 0.264 1
F2 F 0.000 0.250 0.500 1
```

## Properties
E_form (uncorrected)	-43.50	eV per formula unit
magnetization	6.1	Bohr magnetons per cell
calculated volume	582.48	Å³ per cell
crystal system	cubic

# 6
Here is crystalline CoTcPt2 at its relaxed geometry from Alexandria. Energies are from PBE.

The structure in CIF format:
```
data_CoTcPt2
_space_group_name_H-M_alt 'C 1 2/m 1'
_space_group_IT_number 12
_cell_length_a 9.020
_cell_length_b 2.723
_cell_length_c 4.704
_cell_angle_alpha 90.00
_cell_angle_beta 100.14
_cell_angle_gamma 90.00
loop_
_space_group_symop_operation_xyz
'x,y,z'
'-x,-y,-z'
'-x,y,-z'
'x,-y,z'
'x+1/2,y+1/2,z'
'-x+1/2,-y+1/2,-z'
'-x+1/2,y+1/2,-z'
'x+1/2,-y+1/2,z'
loop_
_atom_site_label
_atom_site_type_symbol
_atom_site_fract_x
_atom_site_fract_y
_atom_site_fract_z
_atom_site_occupancy
Co1 Co 0.000 0.000 0.000 1
Tc1 Tc 0.000 0.500 0.500 1
Pt1 Pt 0.248 0.500 0.248 1
```

## Properties
E above lowest polymorph	0.37	eV per formula unit
energy of formation	0.0	eV/f.u.
magnetization	2.6	Bohr magnetons per cell
calculated volume	113.75	Å³ per cell
crystal system	monoclinic

# 7
Here is crystalline ZrSc3As at its relaxed geometry from Alexandria. Energies are from PBE.

The structure in CIF format:
```
data_ZrSc3As
_space_group_name_H-M_alt 'P m -3 m'
_space_group_IT_number 221
_space_group_name_Hall '-P 4 2 3'
_cell_length_a 5.056
_cell_length_b 5.056
_cell_length_c 5.056
_cell_angle_alpha 90.00
_cell_angle_beta 90.00
_cell_angle_gamma 90.00
loop_
_atom_site_label
_atom_site_type_symbol
_atom_site_fract_x
_atom_site_fract_y
_atom_site_fract_z
_atom_site_occupancy
Zr1 Zr 0.000 0.000 0.000 1
Sc1 Sc 0.000 0.500 0.500 1
As1 As 0.500 0.500 0.500 1
```

## Properties
E above lowest polymorph	0.00	eV per formula unit
energy of formation	-0.5	eV/f.u.
magnetization	3.3	Bohr magnetons per cell
calculated volume	129.23	Å³ per cell
crystal system	cubic

# 8
Here is crystalline NdTm5Pb6 at its relaxed geometry from Alexandria. Energies are from PBE.

The structure in CIF format:
```
data_NdTm5Pb6
_space_group_name_H-M_alt 'C 1 2/m 1'
_space_group_IT_number 12
_cell_length_a 6.101
_cell_length_b 15.263
_cell_length_c 7.718
_cell_angle_alpha 90.00
_cell_angle_beta 103.74
_cell_angle_gamma 90.00
loop_
_space_group_symop_operation_xyz
'x,y,z'
'-x,-y,-z'
'-x,y,-z'
'x,-y,z'
'x+1/2,y+1/2,z'
'-x+1/2,-y+1/2,-z'
'-x+1/2,y+1/2,-z'
'x+1/2,-y+1/2,z'
loop_
_atom_site_label
_atom_site_type_symbol
_atom_site_fract_x
_atom_site_fract_y
_atom_site_fract_z
_atom_site_occupancy
Nd1 Nd 0.000 0.000 0.000 1
Tm1 Tm 0.000 0.000 0.500 1
Tm2 Tm 0.000 0.329 0.000 1
Tm3 Tm 0.000 0.341 0.500 1
Pb1 Pb 0.002 0.171 0.740 1
Pb2 Pb 0.015 0.500 0.243 1
```

## Properties
E above lowest polymorph	0.00	eV per formula unit
energy of formation	-4.8	eV/f.u.
magnetization	0.0	Bohr magnetons per cell
calculated volume	698.14	Å³ per cell
crystal system	monoclinic

# 9
Here is crystalline Ca4CoP at its relaxed geometry from Alexandria. Energies are from PBE.

The structure in CIF format:
```
data_Ca4CoP
_space_group_name_H-M_alt 'F -4 3 m'
_space_group_IT_number 216
_space_group_name_Hall 'F -4 2 3'
_cell_length_a 8.783
_cell_length_b 8.783
_cell_length_c 8.783
_cell_angle_alpha 90.00
_cell_angle_beta 90.00
_cell_angle_gamma 90.00
loop_
_atom_site_label
_atom_site_type_symbol
_atom_site_fract_x
_atom_site_fract_y
_atom_site_fract_z
_atom_site_occupancy
Ca1 Ca 0.125 0.125 0.125 1
Co1 Co 0.250 0.250 0.750 1
P1 P 0.000 0.000 0.500 1
```

## Properties
energy of formation	4.6	eV/f.u.
magnetization	0.7	Bohr magnetons per cell
calculated volume	677.60	Å³ per cell
crystal system	cubic

# 10
Here is crystalline KMg2ReF at its relaxed geometry from Alexandria. Energies are from PBE.

The structure in CIF format:
```
data_KMg2ReF
_space_group_name_H-M_alt 'P 4/m m m'
_space_group_IT_number 123
_space_group_name_Hall '-P 4 2'
_cell_length_a 5.010
_cell_length_b 5.010
_cell_length_c 4.320
_cell_angle_alpha 90.00
_cell_angle_beta 90.00
_cell_angle_gamma 90.00
loop_
_atom_site_label
_atom_site_type_symbol
_atom_site_fract_x
_atom_site_fract_y
_atom_site_fract_z
_atom_site_occupancy
K1 K 0.000 0.000 0.000 1
Mg1 Mg 0.000 0.500 0.500 1
Re1 Re 0.500 0.500 0.000 1
F1 F 0.500 0.500 0.500 1
```

## Properties
E_form (uncorrected)	2.46	eV per formula unit
magnetization	1.1	Bohr magnetons per cell
calculated volume	108.44	Å³ per cell
crystal system	tetragonal

# 11
Here is crystalline BaCeHo4Se8 at its relaxed geometry from Alexandria. Energies are from PBE.

The structure in CIF format:
```
data_BaCeHo4Se8
_space_group_name_H-M_alt 'R 3 m'
_space_group_IT_number 160
_space_group_name_Hall 'R 3 -2"'
_cell_length_a 8.5802
_cell_length_b 8.5802
_cell_length_c 21.4613
_cell_angle_alpha 90.00
_cell_angle_beta 90.00
_cell_angle_gamma 120.00
loop_
_atom_site_label
_atom_site_type_symbol
_atom_site_fract_x
_atom_site_fract_y
_atom_site_fract_z
_atom_site_occupancy
Ba1 Ba 0.0000 0.0000 0.0000 1
Ce1 Ce 0.0000 0.0000 0.6277 1
Ho1 Ho 0.0000 0.0000 0.2524 1
Ho2 Ho 0.1684 0.3368 0.4599 1
Se1 Se 0.0000 0.0000 0.3841 1
Se2 Se 0.0000 0.0000 0.8591 1
Se3 Se 0.0415 0.5207 0.3866 1
Se4 Se 0.1724 0.3449 0.2047 1
```

## Properties
E_form (uncorrected)	-24.54	eV per formula unit
magnetization	4.5	Bohr magnetons per cell
calculated volume	1368.29	Å³ per cell
crystal system	trigonal

# 12
Here is crystalline LiTcSbTe2 at its relaxed geometry from Alexandria. Energies are from PBE.

The structure in CIF format:
```
data_LiTcSbTe2
_space_group_name_H-M_alt 'P 4/m m m'
_space_group_IT_number 123
_space_group_name_Hall '-P 4 2'
_cell_length_a 5.460
_cell_length_b 5.460
_cell_length_c 5.123
_cell_angle_alpha 90.00
_cell_angle_beta 90.00
_cell_angle_gamma 90.00
loop_
_atom_site_label
_atom_site_type_symbol
_atom_site_fract_x
_atom_site_fract_y
_atom_site_fract_z
_atom_site_occupancy
Li1 Li 0.000 0.000 0.000 1
Tc1 Tc 0.500 0.500 0.500 1
Sb1 Sb 0.500 0.500 0.000 1
Te1 Te 0.000 0.500 0.500 1
```

## Properties
E_form (uncorrected)	1.47	eV per formula unit
E above lowest polymorph	0.00	eV per formula unit
magnetization	2.1	Bohr magnetons per cell
calculated volume	152.71	Å³ per cell
crystal system	tetragonal